Y2ZnCuSe: optimized geometry, GGA-PBEsol.

a b c (Å): 5.315 5.315 4.351
angles (deg): 90.00 90.00 90.00
Atoms (fractional coordinates):
Y 0.000 0.500 0.000
Y 0.500 0.000 0.000
Zn 0.000 0.000 0.500
Cu 0.500 0.500 0.500
Se 0.500 0.500 0.000

Computed properties:
- VASP energy: -4.93 eV per atom
- Formation energy (no corrections): -247 meV per atom



CaSi2Os: optimized geometry, GGA-PBEsol.

a b c (Å): 6.242 6.242 6.242
angles (deg): 90.00 90.00 90.00
Atoms (fractional coordinates):
Ca 0.000 0.000 0.000
Ca 0.000 0.500 0.500
Ca 0.500 0.000 0.500
Ca 0.500 0.500 0.000
Si 0.250 0.250 0.250
Si 0.250 0.250 0.750
Si 0.250 0.750 0.250
Si 0.250 0.750 0.750
Si 0.750 0.250 0.250
Si 0.750 0.250 0.750
Si 0.750 0.750 0.250
Si 0.750 0.750 0.750
Os 0.000 0.000 0.500
Os 0.000 0.500 0.000
Os 0.500 0.000 0.000
Os 0.500 0.500 0.500

Computed properties:
- VASP energy: -6.60 eV per atom
- Formation energy (no corrections): -141 meV per atom



InSb2MoI: optimized geometry, GGA-PBEsol.

a b c (Å): 5.126 5.126 5.895
angles (deg): 90.00 90.00 90.00
Atoms (fractional coordinates):
In 0.000 0.000 0.000
Sb 0.000 0.500 0.500
Sb 0.500 0.000 0.500
Mo 0.500 0.500 0.500
I 0.500 0.500 0.000

Computed properties:
- VASP energy: -4.71 eV per atom
- Formation energy (no corrections): 414 meV per atom



CsNa3Hf: optimized geometry, GGA-PBEsol.

a b c (Å): 6.347 6.347 6.347
angles (deg): 90.00 90.00 90.00
Atoms (fractional coordinates):
Cs 0.000 0.000 0.000
Na 0.000 0.500 0.500
Na 0.500 0.000 0.500
Na 0.500 0.500 0.000
Hf 0.500 0.500 0.500

Computed properties:
- VASP energy: -2.07 eV per atom
- Energy of formation: 1.06 eV per atom



YZn2Au: optimized geometry, GGA-PBEsol.

a b c (Å): 4.110 4.110 4.442
angles (deg): 90.00 90.00 90.00
Atoms (fractional coordinates):
Y 0.000 0.000 0.000
Zn 0.000 0.500 0.500
Zn 0.500 0.000 0.500
Au 0.500 0.500 0.000

Computed properties:
- VASP energy: -3.85 eV per atom
- Energy of formation: -0.37 eV per atom



ZnTe2: optimized geometry, GGA-PBEsol.

a b c (Å): 3.158 3.158 15.218
angles (deg): 90.00 90.00 90.00
Atoms (fractional coordinates):
Zn 0.000 0.000 0.000
Zn 0.500 0.500 0.500
Te 0.000 0.000 0.362
Te 0.000 0.000 0.638
Te 0.500 0.500 0.138
Te 0.500 0.500 0.862

Computed properties:
- VASP energy: -2.66 eV per atom
- Formation energy (no corrections): 216 meV per atom